## a
NaCa2Tm: optimized geometry, PBE-GGA.

a b c (Å): 3.6048 3.6048 39.7660
angles (deg): 90.00 90.00 120.00
Last column: nearest neighbours and their distance in Å.
Fractional coordinates of all 12 atoms:
Na1 0.0000 0.0000 0.0000  6 Na 3.60, 6 Ca 3.85
Na2 0.3333 0.6667 0.6667  6 Na 3.60, 6 Ca 3.85
Na3 0.6667 0.3333 0.3333  6 Na 3.60, 6 Ca 3.85
Ca1 0.0000 0.0000 0.4147  1 Tm 3.39, 6 Ca 3.60
Ca2 0.0000 0.0000 0.5853  1 Tm 3.39, 6 Ca 3.60
Ca3 0.3333 0.6667 0.0814  1 Tm 3.39, 6 Ca 3.60
Ca4 0.3333 0.6667 0.2520  1 Tm 3.39, 6 Ca 3.60
Ca5 0.6667 0.3333 0.7480  1 Tm 3.39, 6 Ca 3.60
Ca6 0.6667 0.3333 0.9186  1 Tm 3.39, 6 Ca 3.60
Tm1 0.0000 0.0000 0.5000  2 Ca 3.39, 6 Tm 3.60
Tm2 0.3333 0.6667 0.1667  2 Ca 3.39, 6 Tm 3.60
Tm3 0.6667 0.3333 0.8333  2 Ca 3.39, 6 Tm 3.60



## b
NaCa2Tm: optimized geometry, PBE-GGA.

a b c (Å): 6.1286 6.1286 3.8830
angles (deg): 90.00 90.00 90.00
Last column: nearest neighbours and their distance in Å.
Fractional coordinates of all 4 atoms:
Na1 0.0000 0.0000 0.0000  8 Ca 3.63, 2 Na 3.88
Ca1 0.0000 0.5000 0.5000  4 Na 3.63, 4 Tm 3.63, 2 Ca 3.88
Ca2 0.5000 0.0000 0.5000  4 Na 3.63, 4 Tm 3.63, 2 Ca 3.88
Tm1 0.5000 0.5000 0.0000  8 Ca 3.63, 2 Tm 3.88



Relative energies, eV/atom: a 0.097; b 0.000.



## a
Na3CaV: optimized geometry, PBE-GGA.

a b c (Å): 6.0721 6.0721 6.0721
angles (deg): 90.00 90.00 90.00
Last column: nearest neighbours and their distance in Å.
Fractional coordinates of all 5 atoms:
Na1 0.0000 0.0000 0.5000  2 Ca 3.04
Na2 0.0000 0.5000 0.0000  2 Ca 3.04
Na3 0.5000 0.0000 0.0000  2 Ca 3.04
Ca1 0.0000 0.0000 0.0000  6 Na 3.04
V1 0.5000 0.5000 0.5000  12 Na 4.29



## b
Na3CaV: optimized geometry, PBE-GGA.

a b c (Å): 5.7260 5.7260 5.7260
angles (deg): 90.00 90.00 90.00
Last column: nearest neighbours and their distance in Å.
Fractional coordinates of all 5 atoms:
Na1 0.0000 0.0000 0.5000  2 V 2.86
Na2 0.0000 0.5000 0.0000  2 V 2.86
Na3 0.5000 0.0000 0.0000  2 V 2.86
Ca1 0.5000 0.5000 0.5000  12 Na 4.05
V1 0.0000 0.0000 0.0000  6 Na 2.86



Relative energies, eV/atom: a 0.462; b 0.000.



## a
NaCa3V: optimized geometry, PBE-GGA.

a b c (Å): 5.9562 5.9562 5.9562
angles (deg): 90.00 90.00 90.00
Last column: nearest neighbours and their distance in Å.
Fractional coordinates of all 5 atoms:
Na1 0.0000 0.0000 0.0000  12 Ca 4.21
Ca1 0.0000 0.5000 0.5000  2 V 2.98
Ca2 0.5000 0.0000 0.5000  2 V 2.98
Ca3 0.5000 0.5000 0.0000  2 V 2.98
V1 0.5000 0.5000 0.5000  6 Ca 2.98



## b
NaCa3V: optimized geometry, PBE-GGA.

a b c (Å): 5.8366 5.8366 5.8366
angles (deg): 90.00 90.00 90.00
Last column: nearest neighbours and their distance in Å.
Fractional coordinates of all 5 atoms:
Na1 0.0000 0.0000 0.0000  6 Ca 2.92
Ca1 0.0000 0.0000 0.5000  2 Na 2.92
Ca2 0.0000 0.5000 0.0000  2 Na 2.92
Ca3 0.5000 0.0000 0.0000  2 Na 2.92
V1 0.5000 0.5000 0.5000  12 Ca 4.13



Relative energies, eV/atom: a 0.000; b 0.444.



## a
NaCaW3: optimized geometry, PBE-GGA.

a b c (Å): 4.7116 4.7116 4.7116
angles (deg): 90.00 90.00 90.00
Last column: nearest neighbours and their distance in Å.
Fractional coordinates of all 5 atoms:
Na1 0.0000 0.0000 0.0000  6 W 2.36
Ca1 0.5000 0.5000 0.5000  12 W 3.33
W1 0.0000 0.0000 0.5000  2 Na 2.36
W2 0.0000 0.5000 0.0000  2 Na 2.36
W3 0.5000 0.0000 0.0000  2 Na 2.36



## b
NaCaW3: optimized geometry, PBE-GGA.

a b c (Å): 4.7638 4.7638 4.7638
angles (deg): 90.00 90.00 90.00
Last column: nearest neighbours and their distance in Å.
Fractional coordinates of all 5 atoms:
Na1 0.0000 0.0000 0.0000  12 W 3.37
Ca1 0.5000 0.5000 0.5000  6 W 2.38
W1 0.0000 0.5000 0.5000  2 Ca 2.38
W2 0.5000 0.0000 0.5000  2 Ca 2.38
W3 0.5000 0.5000 0.0000  2 Ca 2.38



Relative energies, eV/atom: a 0.000; b 0.391.



## a
Na2Ca2W: optimized geometry, PBE-GGA.

a b c (Å): 3.9032 3.9032 20.2440
angles (deg): 90.00 90.00 90.00
Last column: nearest neighbours and their distance in Å.
Fractional coordinates of all 10 atoms:
Na1 0.0000 0.5000 0.2500  4 Na 2.76
Na2 0.0000 0.5000 0.7500  4 Na 2.76
Na3 0.5000 0.0000 0.2500  4 Na 2.76
Na4 0.5000 0.0000 0.7500  4 Na 2.76
Ca1 0.0000 0.0000 0.0847  4 W 3.25, 1 Ca 3.43
Ca2 0.0000 0.0000 0.9153  4 W 3.25, 1 Ca 3.43
Ca3 0.5000 0.5000 0.4153  4 W 3.25, 1 Ca 3.43
Ca4 0.5000 0.5000 0.5847  4 W 3.25, 1 Ca 3.43
W1 0.0000 0.0000 0.5000  8 Ca 3.25
W2 0.5000 0.5000 0.0000  8 Ca 3.25



## b
Na2Ca2W: optimized geometry, PBE-GGA.

a b c (Å): 8.8681 8.8681 3.4654
angles (deg): 90.00 90.00 90.00
Last column: nearest neighbours and their distance in Å.
Fractional coordinates of all 10 atoms:
Na1 0.1326 0.3674 0.0000  6 Ca 2.97-3.25, 1 Na 3.33
Na2 0.3674 0.8674 0.0000  6 Ca 2.97-3.25, 1 Na 3.33
Na3 0.6326 0.1326 0.0000  6 Ca 2.97-3.25, 1 Na 3.33
Na4 0.8674 0.6326 0.0000  6 Ca 2.97-3.25, 1 Na 3.33
Ca1 0.1746 0.6746 0.5000  6 Na 2.97-3.25, 2 W 3.27
Ca2 0.3254 0.1746 0.5000  6 Na 2.97-3.25, 2 W 3.27
Ca3 0.6746 0.8254 0.5000  6 Na 2.97-3.25, 2 W 3.27
Ca4 0.8254 0.3254 0.5000  6 Na 2.97-3.25, 2 W 3.27
W1 0.0000 0.0000 0.5000  4 Ca 3.27, 2 W 3.47
W2 0.5000 0.5000 0.5000  4 Ca 3.27, 2 W 3.47



Relative energies, eV/atom: a 0.000; b 0.284.



## a
NaCa2Y: optimized geometry, PBE-GGA.

a b c (Å): 4.1505 4.1505 8.6019
angles (deg): 90.00 90.00 90.00
Last column: nearest neighbours and their distance in Å.
Fractional coordinates of all 4 atoms:
Na1 0.0000 0.0000 0.0000  8 Ca 3.67
Ca1 0.5000 0.5000 0.2555  4 Y 3.61, 4 Na 3.67
Ca2 0.5000 0.5000 0.7445  4 Y 3.61, 4 Na 3.67
Y1 0.0000 0.0000 0.5000  8 Ca 3.61



## b
NaCa2Y: optimized geometry, PBE-GGA.

a b c (Å): 3.7547 3.7547 37.2548
angles (deg): 90.00 90.00 120.00
Last column: nearest neighbours and their distance in Å.
Fractional coordinates of all 12 atoms:
Na1 0.0000 0.0000 0.0000  6 Na 3.75, 6 Ca 3.87
Na2 0.3333 0.6667 0.6667  6 Na 3.75, 6 Ca 3.87
Na3 0.6667 0.3333 0.3333  6 Na 3.75, 6 Ca 3.87
Ca1 0.0000 0.0000 0.2472  3 Y 3.70, 6 Ca 3.75, 3 Na 3.87
Ca2 0.0000 0.0000 0.7528  3 Y 3.70, 6 Ca 3.75, 3 Na 3.87
Ca3 0.3333 0.6667 0.4195  3 Y 3.70, 6 Ca 3.75, 3 Na 3.87
Ca4 0.3333 0.6667 0.9138  3 Y 3.70, 6 Ca 3.75, 3 Na 3.87
Ca5 0.6667 0.3333 0.0862  3 Y 3.70, 6 Ca 3.75, 3 Na 3.87
Ca6 0.6667 0.3333 0.5805  3 Y 3.70, 6 Ca 3.75, 3 Na 3.87
Y1 0.0000 0.0000 0.5000  6 Ca 3.70, 6 Y 3.75
Y2 0.3333 0.6667 0.1667  6 Ca 3.70, 6 Y 3.75
Y3 0.6667 0.3333 0.8333  6 Ca 3.70, 6 Y 3.75



## c
NaCa2Y: optimized geometry, PBE-GGA.

a b c (Å): 9.1198 9.1198 7.1782
angles (deg): 90.00 90.00 90.00
Last column: nearest neighbours and their distance in Å.
Fractional coordinates of all 16 atoms:
Na1 0.0000 0.0000 0.0000  4 Ca 3.17
Na2 0.0000 0.5000 0.2500  4 Ca 3.17
Na3 0.5000 0.0000 0.7500  4 Ca 3.17
Na4 0.5000 0.5000 0.5000  4 Ca 3.17
Ca1 0.2207 0.7500 0.1250  2 Na 3.17, 2 Y 3.53
Ca2 0.2500 0.2207 0.8750  2 Na 3.17, 2 Y 3.53
Ca3 0.2500 0.2793 0.3750  2 Na 3.17, 2 Y 3.53
Ca4 0.2793 0.7500 0.6250  2 Na 3.17, 2 Y 3.53
Ca5 0.7207 0.2500 0.6250  2 Na 3.17, 2 Y 3.53
Ca6 0.7500 0.7207 0.3750  2 Na 3.17, 2 Y 3.53
Ca7 0.7500 0.7793 0.8750  2 Na 3.17, 2 Y 3.53
Ca8 0.7793 0.2500 0.1250  2 Na 3.17, 2 Y 3.53
Y1 0.0000 0.0000 0.5000  4 Ca 3.53, 2 Na 3.59
Y2 0.0000 0.5000 0.7500  4 Ca 3.53, 2 Na 3.59
Y3 0.5000 0.0000 0.2500  4 Ca 3.53, 2 Na 3.59
Y4 0.5000 0.5000 0.0000  4 Ca 3.53, 2 Na 3.59



Relative energies, eV/atom: a 0.021; b 0.000; c 0.304.